DFT (PBE) results for a relaxed structure of AcPmIrRh.

Its calculated formation energy is -0.64 eV per atom. The offset from the most stable computed form is 0.0 meV/atom. The value obtained for the calculated volume is 98 Å³/cell.

Cell: 4.290 5.995 5.995 Å, 39.54 90.00 90.00°
Atoms (fractional coordinates):
Ac: 0.000 0.000 0.000
Pm: 0.500 0.719 0.719
Ir: 0.000 0.274 0.274
Rh: 0.500 0.438 0.438

=====

DFT (PBE) results for a relaxed structure of AcPmIrRh.

Its calculated formation energy is -0.55 eV per atom. The offset from the most stable computed form is 90.1 meV/atom. The value obtained for the calculated volume is 95 Å³/cell.

Cell: 5.117 5.117 5.117 Å, 60.00 60.00 60.00°
Atoms (fractional coordinates):
Ac: 0.000 0.000 0.000
Pm: 0.500 0.500 0.500
Ir: 0.750 0.750 0.750
Rh: 0.250 0.250 0.250

=====

DFT (PBE) results for a relaxed structure of AcPmIrRu.

Its calculated formation energy is -0.22 eV per atom. The value obtained for the calculated volume is 94 Å³/cell.

Cell: 5.097 5.097 5.097 Å, 60.00 60.00 60.00°
Atoms (fractional coordinates):
Ac: 0.000 0.000 0.000
Pm: 0.500 0.500 0.500
Ir: 0.750 0.750 0.750
Ru: 0.250 0.250 0.250

=====

DFT (PBE) results for a relaxed structure of AcPmSbIr.

For the uncorrected formation energy, the calculation gives -552.9 meV per atom. The value obtained for the calculated volume is 111 Å³/cell.

Cell: 5.395 5.395 5.395 Å, 60.00 60.00 60.00°
Atoms (fractional coordinates):
Ac: 0.000 0.000 0.000
Pm: 0.500 0.500 0.500
Sb: 0.250 0.250 0.250
Ir: 0.750 0.750 0.750

=====

Number 1: N(E_F) 2.21 states/eV/f.u.. Number 2: N(E_F) 2.60 states/eV/f.u.. Number 3: N(E_F) 2.75 states/eV/f.u.. Number 4: N(E_F) 1.27 states/eV/f.u..